LiCaBr4 at its PBEsol-relaxed geometry. Source: Alexandria via LeMat-Bulk, functional SCAN.

extended XYZ file:
```
6
Lattice="-1.563 -0.904 6.104 4.063 -2.934 3.925 2.960 3.303 4.566" Properties=species:S:1:pos:R:3 pbc="T T T"
Br 2.047 -0.200 5.474
Br 3.527 1.451 7.756
Br 1.266 -0.652 8.525
Br 4.078 -1.667 7.436
Ca 4.095 -0.401 10.947
Li 0.000 0.000 0.000
```

VASP energy = -15.451 eV/atom
Space-group type = F-43m (216)
E_form (uncorrected) = -0.469 eV per atom

LaCuPd at its PBEsol-relaxed geometry. Source: Alexandria via LeMat-Bulk, functional SCAN.

extended XYZ file:
```
9
Lattice="4.071 0.000 0.000 0.000 7.148 0.000 0.000 -3.574 6.190" Properties=species:S:1:pos:R:3 pbc="T T T"
La 0.000 1.453 2.517
La 0.000 -2.121 3.673
La 0.000 4.241 0.000
Cu 2.036 2.761 4.782
Cu 2.036 -0.813 1.408
Cu 2.036 1.625 0.000
Pd 2.036 3.574 2.063
Pd 2.036 0.000 4.127
Pd 0.000 0.000 0.000
```

VASP energy = -30.917 eV/atom
Space-group type = P-62m (189)
DFT formation energy = -0.56 eV/atom

BaGa2Cu2 at its PBEsol-relaxed geometry. Source: Alexandria via LeMat-Bulk, functional SCAN.

extended XYZ file:
```
5
Lattice="4.364 0.000 0.000 0.000 4.364 0.000 -2.182 -2.182 5.378" Properties=species:S:1:pos:R:3 pbc="T T T"
Ga 0.000 0.000 3.773
Ga 2.182 2.182 1.605
Ba 0.000 0.000 0.000
Cu 0.000 2.182 2.689
Cu 2.182 0.000 2.689
```

VASP energy = -20.811 eV/atom
Space-group type = I4/mmm (139)
DFT formation energy = -0.28 eV/atom

Mg5MnSb4 at its PBEsol-relaxed geometry. Source: Alexandria via LeMat-Bulk, functional SCAN.

extended XYZ file:
```
10
Lattice="-1.950 0.315 4.050 3.544 -2.720 -0.589 8.814 10.745 3.407" Properties=species:S:1:pos:R:3 pbc="T T T"
Mg 1.733 -1.684 0.965
Mg 6.090 3.628 2.649
Mg 7.190 8.765 2.779
Mg 1.539 1.324 3.144
Mg 5.907 6.650 4.833
Mn 2.764 3.369 1.068
Sb 1.029 1.255 0.398
Sb 5.371 6.547 2.076
Sb 3.271 3.435 3.814
Sb 7.722 8.862 5.534
```

VASP energy = -19.579 eV/atom
Space-group type = P3m1 (156)
E_form (uncorrected) = -0.362 eV per atom

CrAgOs2 at its PBEsol-relaxed geometry. Source: Alexandria via LeMat-Bulk, functional SCAN.

extended XYZ file:
```
4
Lattice="-1.849 1.346 1.432 -2.476 -3.931 0.497 3.677 -0.741 2.903" Properties=species:S:1:pos:R:3 pbc="T T T"
Ag -1.238 -1.966 0.249
Cr -0.924 0.673 0.716
Os 0.707 -0.917 1.775
Os -1.355 -2.410 3.057
```

VASP energy = -47.941 eV/atom
Space-group type = C2/m (12)
DFT formation energy = 0.44 eV/atom

LaGaNiH2 at its PBEsol-relaxed geometry. Source: Alexandria via LeMat-Bulk, functional SCAN.

extended XYZ file:
```
5
Lattice="-1.775 1.374 3.470 -3.118 -2.657 -0.544 2.526 -3.514 2.683" Properties=species:S:1:pos:R:3 pbc="T T T"
Ni 1.263 -1.757 1.342
H -1.559 -1.328 -0.272
H -0.888 0.687 1.735
Ga -1.184 -2.399 2.805
La 0.000 0.000 0.000
```

VASP energy = -16.211 eV/atom
Space-group type = P4/mmm (123)

Zr2ZnW at its PBEsol-relaxed geometry. Source: Alexandria via LeMat-Bulk, functional SCAN.

extended XYZ file:
```
4
Lattice="2.876 0.000 0.000 -1.438 4.754 0.042 0.000 -0.661 5.305" Properties=species:S:1:pos:R:3 pbc="T T T"
W 0.000 -0.331 2.652
Zn 1.438 0.000 0.000
Zr 1.438 1.951 4.006
Zr 0.000 2.141 1.341
```

VASP energy = -35.915 eV/atom
Space-group type = C2/m (12)
DFT formation energy = 0.23 eV/atom

RbSn3Ir at its PBEsol-relaxed geometry. Source: Alexandria via LeMat-Bulk, functional SCAN.

extended XYZ file:
```
5
Lattice="5.534 0.000 0.000 0.000 5.534 0.000 0.000 0.000 5.534" Properties=species:S:1:pos:R:3 pbc="T T T"
Ir 2.767 2.767 2.767
Sn 0.000 2.767 0.000
Sn 0.000 0.000 2.767
Sn 2.767 0.000 0.000
Rb 0.000 0.000 0.000
```

VASP energy = -37.408 eV/atom
Space-group type = Pm-3m (221)
DFT formation energy = 2.51 eV/atom

PAuO2 at its PBEsol-relaxed geometry. Source: Alexandria via LeMat-Bulk, functional SCAN.

extended XYZ file:
```
8
Lattice="-5.078 1.785 0.163 -3.107 -1.106 4.257 -1.367 3.922 3.428" Properties=species:S:1:pos:R:3 pbc="T T T"
P -2.388 1.150 1.962
P 0.000 0.000 0.000
Au -7.164 3.450 5.886
Au -4.776 2.300 3.924
O -1.878 2.536 2.695
O -1.194 0.575 0.981
O -3.733 1.467 1.063
O -2.748 0.022 3.110
```

VASP energy = -23.458 eV/atom
Space-group type = Fd-3m (227)
E_form (uncorrected) = -0.454 eV per atom

Ca4ZrMo at its PBEsol-relaxed geometry. Source: Alexandria via LeMat-Bulk, functional SCAN.

extended XYZ file:
```
6
Lattice="6.272 0.000 0.000 3.136 5.431 0.000 3.136 1.810 5.121" Properties=species:S:1:pos:R:3 pbc="T T T"
Ca 4.702 2.715 1.920
Ca 6.272 3.621 4.482
Ca 7.841 2.715 1.920
Ca 6.272 5.433 1.920
Mo 9.407 5.431 3.841
Zr 0.000 0.000 0.000
```

VASP energy = -16.338 eV/atom
Space-group type = F-43m (216)
DFT formation energy = 1.03 eV/atom

Tl2SbPb at its PBEsol-relaxed geometry. Source: Alexandria via LeMat-Bulk, functional SCAN.

extended XYZ file:
```
4
Lattice="3.362 0.011 0.000 -0.898 3.240 0.000 0.000 0.000 10.387" Properties=species:S:1:pos:R:3 pbc="T T T"
Pb 0.000 0.000 5.110
Sb 1.232 1.625 2.598
Tl 0.000 0.000 0.074
Tl 1.232 1.625 7.798
```

VASP energy = -64.381 eV/atom
Space-group type = Cmm2 (35)
E_form (uncorrected) = 0.059 eV per atom

ScGaIN2 at its PBEsol-relaxed geometry. Source: Alexandria via LeMat-Bulk, functional SCAN.

extended XYZ file:
```
5
Lattice="3.954 0.000 0.000 0.000 3.954 0.000 0.000 0.000 5.357" Properties=species:S:1:pos:R:3 pbc="T T T"
I 0.000 0.000 2.678
Sc 1.977 1.977 2.678
Ga 0.000 0.000 0.000
N 0.000 1.977 0.000
N 1.977 0.000 0.000
```

VASP energy = -16.406 eV/atom
Space-group type = P4/mmm (123)
E_form (uncorrected) = 0.775 eV per atom

Mg2CdNi at its PBEsol-relaxed geometry. Source: Alexandria via LeMat-Bulk, functional SCAN.

extended XYZ file:
```
4
Lattice="-3.292 -0.416 1.292 1.417 -3.176 2.587 0.850 2.906 3.102" Properties=species:S:1:pos:R:3 pbc="T T T"
Ni -0.512 -0.343 3.491
Mg 0.425 1.453 1.551
Mg 0.709 -1.588 1.293
Cd -1.646 -0.208 0.646
```

VASP energy = -14.215 eV/atom
Space-group type = P4/mmm (123)
DFT formation energy = -0.08 eV/atom

CaAl2Ir2 at its PBEsol-relaxed geometry. Source: Alexandria via LeMat-Bulk, functional SCAN.

extended XYZ file:
```
10
Lattice="-0.775 1.520 2.312 -2.036 -6.301 3.461 6.901 -0.705 2.776" Properties=species:S:1:pos:R:3 pbc="T T T"
Ca 0.000 0.000 0.000
Ca 2.432 -3.503 3.119
Ir 5.154 -2.805 3.572
Ir 2.754 -5.814 4.747
Ir -0.289 -4.200 2.665
Ir 2.111 -1.191 1.491
Al 3.755 -0.588 3.431
Al 4.225 -3.890 5.760
Al 0.335 -4.897 5.119
Al -0.135 -1.594 2.789
```

VASP energy = -34.383 eV/atom
Space-group type = P4/mbm (127)
DFT formation energy = -0.91 eV/atom

ZrNb2V at its PBEsol-relaxed geometry. Source: Alexandria via LeMat-Bulk, functional SCAN.

extended XYZ file:
```
4
Lattice="4.609 0.000 0.000 2.304 3.991 0.000 2.304 1.330 3.763" Properties=species:S:1:pos:R:3 pbc="T T T"
Nb 2.304 1.330 0.941
Nb 6.913 3.991 2.822
Zr 0.000 0.000 0.000
V 4.609 2.661 1.882
```

VASP energy = -28.453 eV/atom
Space-group type = Fm-3m (225)
DFT formation energy = 0.16 eV/atom

Mn3VCu2P6O24 at its PBEsol-relaxed geometry. Source: Alexandria via LeMat-Bulk, functional SCAN.

extended XYZ file:
```
36
Lattice="-8.339 -0.180 0.763 -4.320 -6.399 -3.247 -3.573 -5.599 5.103" Properties=species:S:1:pos:R:3 pbc="T T T"
Mn -5.848 -4.388 0.944
Mn -2.283 -1.713 0.368
Mn -10.401 -7.803 1.678
V -13.965 -10.477 2.253
Cu -16.227 -12.175 2.618
Cu -8.125 -6.096 1.311
P -8.377 -3.293 -0.720
P -5.206 -7.378 -0.061
P -6.678 -4.531 4.050
P -9.534 -7.669 -1.430
P -11.035 -4.791 2.654
P -7.860 -8.870 3.363
O -12.057 -7.347 0.948
O -10.376 -9.564 1.059
O -11.028 -8.193 3.393
O -8.972 -2.158 0.150
O -13.038 -9.720 3.682
O -7.637 -4.311 0.193
O -5.373 -7.331 -1.600
O -6.096 -6.280 0.589
O -8.125 -7.513 -1.986
O -6.852 -4.853 2.539
O -10.508 -6.623 -2.060
O -10.482 -3.499 2.067
O -14.055 -8.877 1.304
O -5.697 -5.548 4.684
O -9.413 -7.330 0.081
O -12.414 -11.045 1.389
O -10.154 -5.918 2.049
O -10.839 -4.835 4.203
O -8.613 -7.894 2.417
O -6.770 -8.028 4.014
O -7.247 -9.995 2.471
O -5.202 -3.998 -0.761
O -5.861 -2.624 1.546
O -4.190 -4.822 1.676
```

VASP energy = -10.924 eV/atom
Space-group type = R3 (146)
E_form (uncorrected) = -2.185 eV per atom

ScMnAg2 at its PBEsol-relaxed geometry. Source: Alexandria via LeMat-Bulk, functional SCAN.

extended XYZ file:
```
4
Lattice="-1.330 -2.610 -0.258 -0.234 -1.768 2.338 -8.466 2.379 2.801" Properties=species:S:1:pos:R:3 pbc="T T T"
Ag -8.435 2.364 2.793
Ag -7.447 -1.536 3.641
Mn -5.019 -0.997 2.441
Sc -2.610 -0.451 1.248
```

VASP energy = -23.765 eV/atom
Space-group type = R3m (160)
DFT formation energy = 0.04 eV/atom

LiHgIr3 at its PBEsol-relaxed geometry. Source: Alexandria via LeMat-Bulk, functional SCAN.

extended XYZ file:
```
5
Lattice="4.165 0.000 0.000 0.000 4.165 0.000 0.000 0.000 4.165" Properties=species:S:1:pos:R:3 pbc="T T T"
Ir 0.000 2.082 0.000
Ir 0.000 0.000 2.082
Ir 2.082 0.000 0.000
Hg 2.082 2.082 2.082
Li 0.000 0.000 0.000
```

VASP energy = -55.693 eV/atom
Space-group type = Pm-3m (221)
DFT formation energy = 1.08 eV/atom

Mg2ZnNi at its PBEsol-relaxed geometry. Source: Alexandria via LeMat-Bulk, functional SCAN.

extended XYZ file:
```
4
Lattice="2.946 0.000 0.000 0.000 4.190 0.000 -1.473 0.000 5.086" Properties=species:S:1:pos:R:3 pbc="T T T"
Ni 1.473 0.000 3.253
Zn 1.473 2.095 1.978
Mg 0.000 0.000 0.933
Mg 0.000 2.095 4.234
```

VASP energy = -10.046 eV/atom
Space-group type = Amm2 (38)
DFT formation energy = -0.14 eV/atom

Na2FeO2 at its PBEsol-relaxed geometry. Source: Alexandria via LeMat-Bulk, functional SCAN.

extended XYZ file:
```
10
Lattice="2.774 0.000 0.000 -1.387 5.125 0.000 0.000 0.000 8.491" Properties=species:S:1:pos:R:3 pbc="T T T"
Na 1.387 1.505 2.784
Na 0.000 3.620 7.030
Na 1.387 4.026 1.327
Na 0.000 1.099 5.572
Fe 1.387 1.251 8.446
Fe 0.000 3.874 4.201
O 1.387 2.892 5.024
O 0.000 2.233 0.778
O 1.387 4.942 3.520
O 0.000 0.183 7.766
```

VASP energy = -9.276 eV/atom
Space-group type = Cmc2_1 (36)
E_form (uncorrected) = -1.471 eV per atom

Sc3Mo4 at its PBEsol-relaxed geometry. Source: Alexandria via LeMat-Bulk, functional SCAN.

extended XYZ file:
```
7
Lattice="3.171 0.000 0.000 0.000 3.171 0.000 -1.585 -1.585 12.563" Properties=species:S:1:pos:R:3 pbc="T T T"
Mo 0.000 0.000 3.228
Mo 0.000 0.000 10.693
Mo 1.585 1.585 1.870
Mo 1.585 1.585 9.335
Sc 0.000 0.000 0.000
Sc 0.000 0.000 7.577
Sc 1.585 1.585 4.987
```

VASP energy = -26.025 eV/atom
Space-group type = I4/mmm (139)
DFT formation energy = 0.01 eV/atom

Tc3Ru at its PBEsol-relaxed geometry. Source: Alexandria via LeMat-Bulk, functional SCAN.

extended XYZ file:
```
4
Lattice="2.715 0.000 0.000 -1.358 2.352 0.000 0.000 0.000 8.619" Properties=species:S:1:pos:R:3 pbc="T T T"
Ru 0.000 0.000 0.000
Tc 0.000 0.000 4.309
Tc 1.358 0.784 6.483
Tc 1.358 0.784 2.135
```

VASP energy = -35.039 eV/atom
Space-group type = P-6m2 (187)
DFT formation energy = -0.04 eV/atom

BeAs2Ru at its PBEsol-relaxed geometry. Source: Alexandria via LeMat-Bulk, functional SCAN.

extended XYZ file:
```
4
Lattice="-1.120 -3.022 -0.923 3.614 -1.448 0.356 -0.234 0.545 4.588" Properties=species:S:1:pos:R:3 pbc="T T T"
Ru 1.156 -2.346 0.190
As -1.316 -2.430 3.466
As 1.382 -1.241 2.389
Be -0.889 -1.911 1.247
```

VASP energy = -19.974 eV/atom
Space-group type = Amm2 (38)
DFT formation energy = -0.08 eV/atom